Model A:
The following is a DFT calculation (PBE-GGA) of crystalline YTaI2N at its relaxed geometry.

a = 6.0788 Å, b = 6.0788 Å, c = 4.0092 Å
α = 90.00°, β = 90.00°, γ = 90.00°
Positions (direct):
Y 0.0000 0.0000 0.0000
Ta 0.5000 0.5000 0.5000
I 0.0000 0.5000 0.0000
I 0.5000 0.0000 0.0000
N 0.0000 0.0000 0.5000

## Properties
Magnetization   0.632 μB/atom
Density of states at the Fermi level   0.800 states/eV/atom
Space group   P4/mmm (123)



Model B:
The following is a DFT calculation (PBE-GGA) of crystalline YTaI2N at its relaxed geometry.

a = 5.7681 Å, b = 5.7681 Å, c = 3.9211 Å
α = 90.00°, β = 90.00°, γ = 90.00°
Positions (direct):
Y 0.0000 0.0000 0.0000
Ta 0.5000 0.5000 0.5000
I 0.0000 0.5000 0.5000
I 0.5000 0.0000 0.5000
N 0.5000 0.5000 0.0000

## Properties
Magnetization   0.129 μB/atom
Density of states at the Fermi level   0.698 states/eV/atom
Space group   P4/mmm (123)



Computed relative energies in units of eV/atom: model A 0.819; model B 0.000



Model A:
The following is a DFT calculation (PBE-GGA) of crystalline ZrTaI2N at its relaxed geometry.

a = 5.7325 Å, b = 5.7325 Å, c = 3.8781 Å
α = 90.00°, β = 90.00°, γ = 90.00°
Positions (direct):
Zr 0.0000 0.0000 0.0000
Ta 0.5000 0.5000 0.5000
I 0.0000 0.5000 0.5000
I 0.5000 0.0000 0.5000
N 0.5000 0.5000 0.0000

## Properties
Magnetization   0.251 μB/atom
Density of states at the Fermi level   1.126 states/eV/atom
Space group   P4/mmm (123)



Model B:
The following is a DFT calculation (PBE-GGA) of crystalline ZrTaI2N at its relaxed geometry.

a = 5.8771 Å, b = 5.8771 Å, c = 3.9390 Å
α = 90.00°, β = 90.00°, γ = 90.00°
Positions (direct):
Zr 0.0000 0.0000 0.0000
Ta 0.5000 0.5000 0.5000
I 0.0000 0.5000 0.0000
I 0.5000 0.0000 0.0000
N 0.0000 0.0000 0.5000

## Properties
Magnetization   0.608 μB/atom
Density of states at the Fermi level   0.577 states/eV/atom
Space group   P4/mmm (123)



Computed relative energies in units of eV/atom: model A 0.000; model B 0.343



Model A:
The following is a DFT calculation (PBE-GGA) of crystalline TcTe2IN at its relaxed geometry.

a = 4.7072 Å, b = 4.7072 Å, c = 4.6511 Å
α = 90.00°, β = 90.00°, γ = 90.00°
Positions (direct):
Tc 0.0000 0.0000 0.0000
Te 0.0000 0.5000 0.5000
Te 0.5000 0.0000 0.5000
I 0.5000 0.5000 0.0000
N 0.5000 0.5000 0.5000

## Properties
Magnetization   0.000 μB/atom
Density of states at the Fermi level   0.543 states/eV/atom
Space group   P4/mmm (123)



Model B:
The following is a DFT calculation (PBE-GGA) of crystalline TcTe2IN at its relaxed geometry.

a = 5.1323 Å, b = 5.1323 Å, c = 5.9136 Å
α = 90.00°, β = 90.00°, γ = 90.00°
Positions (direct):
Tc 0.0000 0.0000 0.0000
Te 0.0000 0.5000 0.0000
Te 0.5000 0.0000 0.0000
I 0.0000 0.0000 0.5000
N 0.5000 0.5000 0.5000

## Properties
Magnetization   0.491 μB/atom
Density of states at the Fermi level   0.808 states/eV/atom
Space group   P4/mmm (123)



Model C:
The following is a DFT calculation (PBE-GGA) of crystalline TcTe2IN at its relaxed geometry.

a = 5.9191 Å, b = 5.9191 Å, c = 3.9112 Å
α = 90.00°, β = 90.00°, γ = 90.00°
Positions (direct):
Tc 0.0000 0.0000 0.0000
Te 0.0000 0.5000 0.5000
Te 0.5000 0.0000 0.5000
I 0.5000 0.5000 0.5000
N 0.5000 0.5000 0.0000

## Properties
Magnetization   0.799 μB/atom
Density of states at the Fermi level   0.704 states/eV/atom
Space group   P4/mmm (123)



Model D:
The following is a DFT calculation (PBE-GGA) of crystalline TcTe2IN at its relaxed geometry.

a = 5.5598 Å, b = 5.5598 Å, c = 3.7675 Å
α = 90.00°, β = 90.00°, γ = 90.00°
Positions (direct):
Tc 0.0000 0.0000 0.0000
Te 0.0000 0.5000 0.0000
Te 0.5000 0.0000 0.0000
I 0.5000 0.5000 0.5000
N 0.0000 0.0000 0.5000

## Properties
Magnetization   0.000 μB/atom
Density of states at the Fermi level   0.861 states/eV/atom
Space group   P4/mmm (123)



Computed relative energies in units of eV/atom: model A 1.004; model B 0.987; model C 1.420; model D 0.000



Model A:
The following is a DFT calculation (PBE-GGA) of crystalline TiTcIN2 at its relaxed geometry.

a = 3.9137 Å, b = 3.9137 Å, c = 5.5469 Å
α = 90.00°, β = 90.00°, γ = 90.00°
Positions (direct):
Ti 0.0000 0.0000 0.0000
Tc 0.5000 0.5000 0.5000
I 0.5000 0.5000 0.0000
N 0.0000 0.5000 0.5000
N 0.5000 0.0000 0.5000

## Properties
Magnetization   0.027 μB/atom
Density of states at the Fermi level   1.373 states/eV/atom
Space group   P4/mmm (123)



Model B:
The following is a DFT calculation (PBE-GGA) of crystalline TiTcIN2 at its relaxed geometry.

a = 3.9539 Å, b = 3.9539 Å, c = 5.7840 Å
α = 90.00°, β = 90.00°, γ = 90.00°
Positions (direct):
Ti 0.0000 0.0000 0.0000
Tc 0.5000 0.5000 0.5000
I 0.0000 0.0000 0.5000
N 0.0000 0.5000 0.0000
N 0.5000 0.0000 0.0000

## Properties
Magnetization   0.700 μB/atom
Density of states at the Fermi level   0.542 states/eV/atom
Space group   P4/mmm (123)



Computed relative energies in units of eV/atom: model A 0.000; model B 0.067



Model A:
The following is a DFT calculation (PBE-GGA) of crystalline VTcIN2 at its relaxed geometry.

a = 3.8556 Å, b = 3.8556 Å, c = 5.6208 Å
α = 90.00°, β = 90.00°, γ = 90.00°
Positions (direct):
V 0.0000 0.0000 0.0000
Tc 0.5000 0.5000 0.5000
I 0.0000 0.0000 0.5000
N 0.0000 0.5000 0.0000
N 0.5000 0.0000 0.0000

## Properties
Magnetization   0.641 μB/atom
Density of states at the Fermi level   0.867 states/eV/atom
Space group   P4/mmm (123)



Model B:
The following is a DFT calculation (PBE-GGA) of crystalline VTcIN2 at its relaxed geometry.

a = 3.8874 Å, b = 3.8874 Å, c = 5.6752 Å
α = 90.00°, β = 90.00°, γ = 90.00°
Positions (direct):
V 0.0000 0.0000 0.0000
Tc 0.5000 0.5000 0.5000
I 0.5000 0.5000 0.0000
N 0.0000 0.5000 0.5000
N 0.5000 0.0000 0.5000

## Properties
Magnetization   0.104 μB/atom
Density of states at the Fermi level   1.759 states/eV/atom
Space group   P4/mmm (123)



Computed relative energies in units of eV/atom: model A 0.000; model B 0.082



Model A:
The following is a DFT calculation (PBE-GGA) of crystalline TcWI2N at its relaxed geometry.

a = 5.6634 Å, b = 5.6634 Å, c = 3.8254 Å
α = 90.00°, β = 90.00°, γ = 90.00°
Positions (direct):
Tc 0.0000 0.0000 0.0000
W 0.5000 0.5000 0.5000
I 0.0000 0.5000 0.5000
I 0.5000 0.0000 0.5000
N 0.5000 0.5000 0.0000

## Properties
Magnetization   1.048 μB/atom
Density of states at the Fermi level   0.700 states/eV/atom
Space group   P4/mmm (123)



Model B:
The following is a DFT calculation (PBE-GGA) of crystalline TcWI2N at its relaxed geometry.

a = 5.5081 Å, b = 5.5081 Å, c = 3.7139 Å
α = 90.00°, β = 90.00°, γ = 90.00°
Positions (direct):
Tc 0.0000 0.0000 0.0000
W 0.5000 0.5000 0.5000
I 0.0000 0.5000 0.0000
I 0.5000 0.0000 0.0000
N 0.0000 0.0000 0.5000

## Properties
Magnetization   0.717 μB/atom
Density of states at the Fermi level   0.699 states/eV/atom
Space group   P4/mmm (123)



Computed relative energies in units of eV/atom: model A 0.000; model B 0.223



Model A:
The following is a DFT calculation (PBE-GGA) of crystalline ZrTcI2N at its relaxed geometry.

a = 5.9270 Å, b = 5.9270 Å, c = 3.9886 Å
α = 90.00°, β = 90.00°, γ = 90.00°
Positions (direct):
Zr 0.0000 0.0000 0.0000
Tc 0.5000 0.5000 0.5000
I 0.0000 0.5000 0.0000
I 0.5000 0.0000 0.0000
N 0.0000 0.0000 0.5000

## Properties
Magnetization   0.836 μB/atom
Density of states at the Fermi level   0.472 states/eV/atom
Space group   P4/mmm (123)



Model B:
The following is a DFT calculation (PBE-GGA) of crystalline ZrTcI2N at its relaxed geometry.

a = 5.5488 Å, b = 5.5488 Å, c = 3.7261 Å
α = 90.00°, β = 90.00°, γ = 90.00°
Positions (direct):
Zr 0.0000 0.0000 0.0000
Tc 0.5000 0.5000 0.5000
I 0.0000 0.5000 0.5000
I 0.5000 0.0000 0.5000
N 0.5000 0.5000 0.0000

## Properties
Magnetization   0.000 μB/atom
Density of states at the Fermi level   1.244 states/eV/atom
Space group   P4/mmm (123)



Computed relative energies in units of eV/atom: model A 0.102; model B 0.000



Model A:
The following is a DFT calculation (PBE-GGA) of crystalline TeI3N at its relaxed geometry.

a = 6.0319 Å, b = 6.0319 Å, c = 6.0319 Å
α = 90.00°, β = 90.00°, γ = 90.00°
Positions (direct):
Te 0.0000 0.0000 0.0000
I 0.0000 0.0000 0.5000
I 0.0000 0.5000 0.0000
I 0.5000 0.0000 0.0000
N 0.5000 0.5000 0.5000

## Properties
Magnetization   0.596 μB/atom
Density of states at the Fermi level   0.407 states/eV/atom
Space group   Pm-3m (221)



Model B:
The following is a DFT calculation (PBE-GGA) of crystalline TeI3N at its relaxed geometry.

a = 5.1073 Å, b = 5.1073 Å, c = 5.1073 Å
α = 90.00°, β = 90.00°, γ = 90.00°
Positions (direct):
Te 0.0000 0.0000 0.0000
I 0.0000 0.5000 0.5000
I 0.5000 0.0000 0.5000
I 0.5000 0.5000 0.0000
N 0.5000 0.5000 0.5000

## Properties
Magnetization   0.000 μB/atom
Density of states at the Fermi level   0.896 states/eV/atom
Space group   Pm-3m (221)



Model C:
The following is a DFT calculation (PBE-GGA) of crystalline TeI3N at its relaxed geometry.

a = 5.7043 Å, b = 9.6271 Å, c = 9.8306 Å
α = 68.31°, β = 85.00°, γ = 88.92°
Positions (direct):
Te 0.0262 0.2866 0.2741
Te 0.9738 0.7134 0.7259
I 0.0371 0.6371 0.1921
I 0.0467 0.9878 0.2348
I 0.4839 0.7339 0.6398
I 0.5161 0.2661 0.3602
I 0.9533 0.0122 0.7652
I 0.9629 0.3629 0.8079
N 0.0625 0.7473 0.3332
N 0.9375 0.2527 0.6668

## Properties
Magnetization   0.214 μB/atom
Density of states at the Fermi level   0.180 states/eV/atom
Space group   P-1 (2)



Computed relative energies in units of eV/atom: model A 0.301; model B 0.325; model C 0.000



Model A:
The following is a DFT calculation (PBE-GGA) of crystalline Te3IN at its relaxed geometry.

a = 5.8122 Å, b = 5.8122 Å, c = 5.8122 Å
α = 90.00°, β = 90.00°, γ = 90.00°
Positions (direct):
Te 0.0000 0.0000 0.5000
Te 0.0000 0.5000 0.0000
Te 0.5000 0.0000 0.0000
I 0.0000 0.0000 0.0000
N 0.5000 0.5000 0.5000

## Properties
Magnetization   0.000 μB/atom
Density of states at the Fermi level   4.087 states/eV/atom
Space group   Pm-3m (221)



Model B:
The following is a DFT calculation (PBE-GGA) of crystalline Te3IN at its relaxed geometry.

a = 4.9473 Å, b = 4.9473 Å, c = 4.9473 Å
α = 90.00°, β = 90.00°, γ = 90.00°
Positions (direct):
Te 0.0000 0.0000 0.5000
Te 0.0000 0.5000 0.0000
Te 0.5000 0.0000 0.0000
I 0.5000 0.5000 0.5000
N 0.0000 0.0000 0.0000

## Properties
Magnetization   0.000 μB/atom
Density of states at the Fermi level   0.892 states/eV/atom
Space group   Pm-3m (221)



Computed relative energies in units of eV/atom: model A 1.337; model B 0.000



Model A:
The following is a DFT calculation (PBE-GGA) of crystalline TeI2N at its relaxed geometry.

a = 7.3311 Å, b = 7.3311 Å, c = 7.3311 Å
α = 120.80°, β = 120.80°, γ = 88.62°
Positions (direct):
Te 0.3750 0.6250 0.7500
Te 0.6250 0.3750 0.2500
I 0.0000 0.0000 0.0000
I 0.0000 0.0000 0.5000
I 0.0000 0.5000 0.0000
I 0.5000 0.0000 0.5000
N 0.1250 0.8750 0.2500
N 0.8750 0.1250 0.7500

## Properties
Magnetization   0.439 μB/atom
Density of states at the Fermi level   1.075 states/eV/atom
Space group   I4_1/amd (141)



Model B:
The following is a DFT calculation (PBE-GGA) of crystalline TeI2N at its relaxed geometry.

a = 4.1920 Å, b = 7.9080 Å, c = 12.8307 Å
α = 106.68°, β = 90.06°, γ = 105.17°
Positions (direct):
Te 0.0053 0.0383 0.2004
Te 0.9947 0.9617 0.7996
I 0.3778 0.7255 0.8570
I 0.3899 0.8031 0.2589
I 0.6101 0.1969 0.7411
I 0.6222 0.2745 0.1430
N 0.0585 0.4554 0.5155
N 0.9415 0.5446 0.4845

## Properties
Magnetization   0.000 μB/atom
Space group   P-1 (2)



Computed relative energies in units of eV/atom: model A 1.135; model B 0.000



Model A:
The following is a DFT calculation (PBE-GGA) of crystalline TiTe2IN at its relaxed geometry.

a = 5.7178 Å, b = 5.7178 Å, c = 3.7792 Å
α = 90.00°, β = 90.00°, γ = 90.00°
Positions (direct):
Ti 0.0000 0.0000 0.0000
Te 0.0000 0.5000 0.0000
Te 0.5000 0.0000 0.0000
I 0.5000 0.5000 0.5000
N 0.0000 0.0000 0.5000

## Properties
Magnetization   0.000 μB/atom
Density of states at the Fermi level   1.130 states/eV/atom
Space group   P4/mmm (123)



Model B:
The following is a DFT calculation (PBE-GGA) of crystalline TiTe2IN at its relaxed geometry.

a = 4.8588 Å, b = 4.8588 Å, c = 4.6963 Å
α = 90.00°, β = 90.00°, γ = 90.00°
Positions (direct):
Ti 0.0000 0.0000 0.0000
Te 0.0000 0.5000 0.5000
Te 0.5000 0.0000 0.5000
I 0.5000 0.5000 0.0000
N 0.5000 0.5000 0.5000

## Properties
Magnetization   0.007 μB/atom
Density of states at the Fermi level   1.419 states/eV/atom
Space group   P4/mmm (123)



Model C:
The following is a DFT calculation (PBE-GGA) of crystalline TiTe2IN at its relaxed geometry.

a = 5.8653 Å, b = 5.8653 Å, c = 3.9355 Å
α = 90.00°, β = 90.00°, γ = 90.00°
Positions (direct):
Ti 0.0000 0.0000 0.0000
Te 0.0000 0.5000 0.5000
Te 0.5000 0.0000 0.5000
I 0.5000 0.5000 0.5000
N 0.5000 0.5000 0.0000

## Properties
Magnetization   0.375 μB/atom
Density of states at the Fermi level   0.741 states/eV/atom
Space group   P4/mmm (123)



Computed relative energies in units of eV/atom: model A 0.000; model B 0.721; model C 1.126



Model A:
The following is a DFT calculation (PBE-GGA) of crystalline TiTeIN2 at its relaxed geometry.

a = 4.0163 Å, b = 4.0163 Å, c = 7.2364 Å
α = 90.00°, β = 90.00°, γ = 90.00°
Positions (direct):
Ti 0.0000 0.0000 0.0000
Te 0.5000 0.5000 0.0000
I 0.5000 0.5000 0.5000
N 0.0000 0.5000 0.5000
N 0.5000 0.0000 0.5000

## Properties
Magnetization   0.350 μB/atom
Density of states at the Fermi level   0.869 states/eV/atom
Space group   P4/mmm (123)



Model B:
The following is a DFT calculation (PBE-GGA) of crystalline TiTeIN2 at its relaxed geometry.

a = 4.1011 Å, b = 4.1011 Å, c = 5.9954 Å
α = 90.00°, β = 90.00°, γ = 90.00°
Positions (direct):
Ti 0.0000 0.0000 0.0000
Te 0.5000 0.5000 0.5000
I 0.0000 0.0000 0.5000
N 0.0000 0.5000 0.0000
N 0.5000 0.0000 0.0000

## Properties
Magnetization   0.046 μB/atom
Density of states at the Fermi level   0.765 states/eV/atom
Space group   P4/mmm (123)



Computed relative energies in units of eV/atom: model A 0.941; model B 0.000